one:
Pu2SiH2 PBE optimized geometry; magnetization = 11.10 Bohr magnetons per cell
1.0
1.724 -7.043 0.000
1.724 7.043 0.000
0.000 0.000 2.904
Pu Si H
2 1 2
Cartesian
1.724 5.046 0.000
1.724 -5.046 0.000
1.724 0.000 1.452
1.724 2.922 1.452
1.724 -2.922 1.452

***

two:
Pu2SiH2 PBE optimized geometry; magnetization = 0.00 Bohr magnetons per cell
1.0
3.475 -1.746 0.000
3.475 1.746 0.000
-0.911 0.000 5.213
Pu Si H
2 1 2
Cartesian
1.247 0.000 1.815
4.794 0.000 3.398
3.475 0.000 0.000
-0.003 0.000 3.558
6.043 0.000 1.655

***

Which of them is the least stable? Correct choice: two.

***

one:
Pu2SnH PBE optimized geometry; magnetization = 0.00 Bohr magnetons per cell
1.0
1.909 1.102 5.419
-1.909 1.102 5.419
0.000 -2.204 5.419
Pu Sn H
2 1 1
Cartesian
0.000 0.000 3.211
0.000 0.000 13.047
0.000 0.000 0.000
0.000 0.000 8.129

***

two:
Pu2SnH PBE optimized geometry; magnetization = 12.45 Bohr magnetons per cell
1.0
3.235 0.000 0.000
0.000 3.235 0.000
0.000 0.000 7.776
Pu Sn H
2 1 1
Cartesian
0.000 0.000 1.565
0.000 0.000 6.211
1.618 1.618 3.888
1.618 1.618 0.000

***

three:
Pu2SnH PBE optimized geometry; magnetization = 1.87 Bohr magnetons per cell
1.0
1.755 -5.154 0.000
1.755 5.154 0.000
0.000 0.000 7.496
Pu Sn H
4 2 2
Cartesian
1.755 3.267 4.065
1.755 3.267 7.179
1.755 -3.267 0.317
1.755 -3.267 3.431
1.755 0.347 5.622
1.755 -0.347 1.874
1.755 2.442 1.874
1.755 -2.442 5.622

***

Which of them is the least stable? Correct choice: one.

***

one:
Tb2PuH PBE optimized geometry; magnetization = 6.23 Bohr magnetons per cell
1.0
1.722 0.994 9.276
-1.722 0.994 9.276
0.000 -1.988 9.276
Tb Pu H
2 1 1
Cartesian
0.000 0.000 3.269
0.000 0.000 24.557
0.000 0.000 0.000
0.000 0.000 13.913

***

two:
Tb2PuH PBE optimized geometry; magnetization = 5.77 Bohr magnetons per cell
1.0
3.257 0.000 0.000
0.000 3.257 0.000
0.000 0.000 8.447
Tb Pu H
2 1 1
Cartesian
0.000 0.000 1.647
0.000 0.000 6.800
1.629 1.629 4.223
1.629 1.629 0.000

***

Which of them is the least stable? Correct choice: two.

***

one:
PuTcH3 PBE optimized geometry; magnetization = 10.00 Bohr magnetons per cell
1.0
5.589 0.000 0.000
0.000 3.206 0.000
-1.277 0.000 5.744
Pu Tc H
2 2 6
Cartesian
0.000 0.000 0.000
1.717 0.000 3.225
3.271 0.000 0.780
4.510 1.603 2.763
-0.703 0.000 3.388
0.408 1.603 1.737
0.056 1.603 4.075
0.864 0.000 5.221
2.874 1.603 1.702
3.309 1.603 4.089

***

two:
PuTcH3 PBE optimized geometry; magnetization = 5.01 Bohr magnetons per cell
1.0
3.681 0.000 0.000
0.000 3.681 0.000
0.000 0.000 3.681
Pu Tc H
1 1 3
Cartesian
0.000 0.000 0.000
1.840 1.840 1.840
0.000 1.840 1.840
1.840 0.000 1.840
1.840 1.840 0.000

***

Which of them is the least stable? Correct choice: one.

***

one:
Pu2TeH2 PBE optimized geometry; magnetization = 23.99 Bohr magnetons per cell
1.0
0.000 5.091 5.741
3.065 0.000 5.741
3.065 5.091 0.000
Pu Te H
4 2 4
Cartesian
2.299 0.519 4.306
3.832 3.064 7.176
2.299 7.117 4.306
3.832 9.663 7.176
2.299 3.818 4.306
3.832 6.363 7.176
0.766 1.273 0.053
0.766 1.273 2.818
5.364 8.909 8.664
5.364 8.909 11.429

***

two:
Pu2TeH2 PBE optimized geometry; magnetization = 11.93 Bohr magnetons per cell
1.0
-2.024 2.024 5.455
2.024 -2.024 5.455
2.024 2.024 -5.455
Pu Te H
2 1 2
Cartesian
0.000 0.000 1.675
0.000 0.000 9.235
0.000 0.000 5.455
2.024 0.000 2.727
0.000 2.024 2.727

***

Which of them is the least stable? Correct choice: one.

***

one:
PuThH2 PBE optimized geometry; magnetization = 5.74 Bohr magnetons per cell
1.0
1.790 1.033 5.736
-1.790 1.033 5.736
0.000 -2.067 5.736
Pu Th H
1 1 2
Cartesian
0.000 0.000 0.000
0.000 0.000 8.604
0.000 0.000 4.297
0.000 0.000 12.911

***

two:
PuThH2 PBE optimized geometry; magnetization = 5.97 Bohr magnetons per cell
1.0
1.751 1.011 6.108
-1.751 1.011 6.108
0.000 -2.022 6.108
Pu Th H
1 1 2
Cartesian
0.000 0.000 0.000
0.000 0.000 15.134
0.000 0.000 4.431
0.000 0.000 7.568

***

Which of them is the least stable? Correct choice: two.